## Cs3OsAu (meta-GGA SCAN)

Data for a crystal of Cs3OsAu relaxed with PBEsol.

**DOS at the Fermi energy**: 0.196 states/eV/atom
**Energy of formation**: 4.8 eV/f.u.
**Space group**: No. 221

Lattice parameters (Å, degrees): 5.8169 5.8169 5.8169 90.00 90.00 90.00
Positions (direct):
Au 0.5000 0.5000 0.5000
Os 0.0000 0.0000 0.0000
Cs 0.0000 0.0000 0.5000
Cs 0.5000 0.0000 0.0000
Cs 0.0000 0.5000 0.0000